[1]
A relaxed structure of Eu3As5O12, computed with GGA-PBE.

Cell lengths 11.4404, 11.4404, 11.4404 Å; angles 109.47, 109.47, 109.47 degrees
Last column: nearest neighbours and their distance in Å.
Positions (direct):
Eu 0.7500 0.3750 0.1250  8 O 2.52-2.66
Eu 0.8750 0.7500 0.1250  8 O 2.52-2.66
Eu 0.3750 0.7500 0.6250  8 O 2.52-2.66
Eu 0.2500 0.1250 0.3750  8 O 2.52-2.66
Eu 0.8750 0.1250 0.2500  8 O 2.52-2.66
Eu 0.3750 0.6250 0.2500  8 O 2.52-2.66
Eu 0.6250 0.3750 0.7500  8 O 2.52-2.66
Eu 0.1250 0.8750 0.7500  8 O 2.52-2.66
Eu 0.7500 0.8750 0.6250  8 O 2.52-2.66
Eu 0.6250 0.2500 0.3750  8 O 2.52-2.66
Eu 0.1250 0.2500 0.8750  8 O 2.52-2.66
Eu 0.2500 0.6250 0.8750  8 O 2.52-2.66
As 0.1250 0.3750 0.2500  4 O 1.93
As 0.0000 0.5000 0.0000  6 O 2.16
As 0.0000 0.0000 0.0000  6 O 2.16
As 0.3750 0.2500 0.1250  4 O 1.93
As 0.5000 0.0000 0.5000  6 O 2.16
As 0.5000 0.5000 0.0000  6 O 2.16
As 0.1250 0.7500 0.3750  4 O 1.93
As 0.7500 0.1250 0.8750  4 O 1.93
As 0.7500 0.6250 0.3750  4 O 1.93
As 0.3750 0.1250 0.7500  4 O 1.93
As 0.6250 0.8750 0.2500  4 O 1.93
As 0.5000 0.5000 0.5000  6 O 2.16
As 0.5000 0.0000 0.0000  6 O 2.16
As 0.0000 0.0000 0.5000  6 O 2.16
As 0.2500 0.3750 0.6250  4 O 1.93
As 0.2500 0.8750 0.1250  4 O 1.93
As 0.0000 0.5000 0.5000  6 O 2.16
As 0.8750 0.2500 0.6250  4 O 1.93
As 0.6250 0.7500 0.8750  4 O 1.93
As 0.8750 0.6250 0.7500  4 O 1.93
O 0.7042 0.1217 0.0223  2 As 1.93-2.16
O 0.3180 0.5223 0.4005  2 As 1.93-2.16
O 0.9777 0.3783 0.2958  2 As 1.93-2.16
O 0.5223 0.2042 0.1217  2 As 1.93-2.16
O 0.5825 0.7042 0.6820  2 As 1.93-2.16
O 0.9777 0.5995 0.1820  2 As 1.93-2.16
O 0.3180 0.7958 0.4175  2 As 1.93-2.16
O 0.0995 0.9175 0.1217  2 As 1.93-2.16
O 0.5995 0.9777 0.6820  2 As 1.93-2.16
O 0.7042 0.5825 0.1820  2 As 1.93-2.16
O 0.7958 0.4777 0.3783  2 As 1.93-2.16
O 0.8180 0.9005 0.0223  2 As 1.93-2.16
O 0.1217 0.7042 0.5223  2 As 1.93-2.16
O 0.3783 0.4005 0.0825  2 As 1.93-2.16
O 0.0825 0.9005 0.3783  2 As 1.93-2.16
O 0.4175 0.1217 0.5995  2 As 1.93-2.16
O 0.0825 0.1820 0.2042  2 As 1.93-2.16
O 0.4777 0.6820 0.0995  2 As 1.93-2.16
O 0.8180 0.9175 0.2958  2 As 1.93-2.16
O 0.1217 0.4175 0.0995  2 As 1.93-2.16
O 0.3783 0.9777 0.7958  2 As 1.93-2.16
O 0.5995 0.6217 0.4175  2 As 1.93-2.16
O 0.9005 0.8180 0.5223  2 As 1.93-2.16
O 0.7958 0.3180 0.9175  2 As 1.93-2.16
O 0.4005 0.3783 0.5825  2 As 1.93-2.16
O 0.0995 0.1820 0.4777  2 As 1.93-2.16
O 0.2042 0.6820 0.0825  2 As 1.93-2.16
O 0.1820 0.0825 0.7042  2 As 1.93-2.16
O 0.6217 0.0223 0.2042  2 As 1.93-2.16
O 0.8783 0.5825 0.9005  2 As 1.93-2.16
O 0.5223 0.3180 0.9005  2 As 1.93-2.16
O 0.5825 0.8783 0.4005  2 As 1.93-2.16
O 0.9175 0.8180 0.7958  2 As 1.93-2.16
O 0.9175 0.0995 0.6217  2 As 1.93-2.16
O 0.8783 0.2958 0.4777  2 As 1.93-2.16
O 0.1820 0.0995 0.9777  2 As 1.93-2.16
O 0.6217 0.5995 0.9175  2 As 1.93-2.16
O 0.4005 0.0223 0.3180  2 As 1.93-2.16
O 0.2958 0.4175 0.8180  2 As 1.93-2.16
O 0.2042 0.5223 0.6217  2 As 1.93-2.16
O 0.9005 0.0825 0.8783  2 As 1.93-2.16
O 0.6820 0.2042 0.5825  2 As 1.93-2.16
O 0.4777 0.7958 0.8783  2 As 1.93-2.16
O 0.0223 0.4005 0.8180  2 As 1.93-2.16
O 0.4175 0.2958 0.3180  2 As 1.93-2.16
O 0.0223 0.6217 0.7042  2 As 1.93-2.16
O 0.6820 0.4777 0.5995  2 As 1.93-2.16
O 0.2958 0.8783 0.9777  2 As 1.93-2.16

Computed properties:
Formation energy without anion corrections ... -1.62 eV per atom

---

[2]
A relaxed structure of EuAs2Os, computed with GGA-PBE.

Cell lengths 4.2167, 4.2167, 5.7258 Å; angles 68.39, 68.39, 60.00 degrees
Last column: nearest neighbours and their distance in Å.
Positions (direct):
Eu 0.0000 0.0000 0.0000  6 As 3.01
As 0.7803 0.7803 0.6590  3 Os 2.57
As 0.2197 0.2197 0.3410  3 Os 2.57
Os 0.5000 0.5000 0.5000  6 As 2.57

Computed properties:
ΔH_f (0 K) ... -48.3 kJ per mole of atoms

---

[3]
A relaxed structure of EuAsPb, computed with GGA-PBE.

Cell lengths 4.1523, 4.9602, 4.9602 Å; angles 120.00, 90.00, 90.00 degrees
Last column: nearest neighbours and their distance in Å.
Positions (direct):
Pb 0.1673 0.0000 0.0000  3 As 2.86
Eu 0.6669 0.6667 0.3333  6 As 3.53-3.54, 6 Pb 3.54
As 0.1658 0.3333 0.6667  3 Pb 2.86

Computed properties:
ΔH_f (0 K) ... -49.2 kJ per mole of atoms

---

[4]
A relaxed structure of Eu2AsPb, computed with GGA-PBE.

Cell lengths 4.1644, 4.1644, 8.9856 Å; angles 76.60, 76.60, 60.00 degrees
Last column: nearest neighbours and their distance in Å.
Positions (direct):
Pb 0.5000 0.5000 0.5000  6 Eu 3.53
Eu 0.7337 0.7337 0.7990  3 As 2.97
Eu 0.2663 0.2663 0.2010  3 As 2.97
As 0.0000 0.0000 0.0000  6 Eu 2.97

Computed properties:
Excess energy over the best structure of this formula in the dataset ... 14 meV per atom
ΔH_f (0 K) ... -74.0 kJ per mole of atoms

---

[5]
A relaxed structure of EuAsPb2, computed with GGA-PBE.

Cell lengths 5.0578, 4.6707, 4.6707 Å; angles 90.00, 90.00, 90.00 degrees
Last column: nearest neighbours and their distance in Å.
Positions (direct):
Pb 0.0000 0.0000 0.5000  4 Pb 3.30, 4 Eu 3.44, 4 As 3.44
Pb 0.0000 0.5000 0.0000  4 Pb 3.30, 4 Eu 3.44, 4 As 3.44
Eu 0.5000 0.5000 0.5000  4 As 3.30, 8 Pb 3.44
As 0.5000 0.0000 0.0000  4 Eu 3.30, 8 Pb 3.44

Computed properties:
Excess energy over the best structure of this formula in the dataset ... 0 meV per atom
ΔH_f (0 K) ... -39.3 kJ per mole of atoms

---

[6]
A relaxed structure of EuAsPb2, computed with GGA-PBE.

Cell lengths 3.9471, 3.9471, 10.5811 Å; angles 79.25, 79.25, 60.00 degrees
Last column: nearest neighbours and their distance in Å.
Positions (direct):
Pb 0.1078 0.1078 0.6766  3 As 2.92
Pb 0.8922 0.8922 0.3234  3 As 2.92
Eu 0.0000 0.0000 0.0000  2 Pb 3.34
As 0.5000 0.5000 0.5000  6 Pb 2.92

Computed properties:
Excess energy over the best structure of this formula in the dataset ... 456 meV per atom
ΔH_f (0 K) ... 4.8 kJ per mole of atoms

---

[7]
A relaxed structure of Eu2AsPb, computed with GGA-PBE.

Cell lengths 3.6853, 3.6853, 8.4932 Å; angles 90.00, 90.00, 90.00 degrees
Last column: nearest neighbours and their distance in Å.
Positions (direct):
Pb 0.5000 0.5000 0.5000  8 Eu 3.60, 4 Pb 3.69
Eu 0.0000 0.0000 0.7922  4 As 3.15
Eu 0.0000 0.0000 0.2078  4 As 3.15
As 0.5000 0.5000 0.0000  8 Eu 3.15

Computed properties:
Excess energy over the best structure of this formula in the dataset ... 0 meV per atom
ΔH_f (0 K) ... -75.3 kJ per mole of atoms

---

[8]
A relaxed structure of EuAs2Pd2, computed with GGA-PBE.

Cell lengths 4.3499, 4.3499, 6.0575 Å; angles 111.04, 111.04, 90.00 degrees
Last column: nearest neighbours and their distance in Å.
Positions (direct):
Eu 0.0000 0.0000 0.0000  8 As 3.32, 8 Pd 3.40
As 0.3792 0.3792 0.7584  1 As 2.52, 4 Pd 2.56
As 0.6208 0.6208 0.2416  1 As 2.52, 4 Pd 2.56
Pd 0.7500 0.2500 0.5000  4 As 2.56
Pd 0.2500 0.7500 0.5000  4 As 2.56

Computed properties:
ΔH_f (0 K) ... -77.5 kJ per mole of atoms

---

Number 1: total DFT energy (no corrections) -7.29 eV per atom. Number 2: total DFT energy (no corrections) -8.20 eV per atom. Number 3: total DFT energy (no corrections) -6.72 eV per atom. Number 4: total DFT energy (no corrections) -7.99 eV per atom. Number 5: total DFT energy (no corrections) -5.99 eV per atom. Number 6: total DFT energy (no corrections) -5.54 eV per atom. Number 7: total DFT energy (no corrections) -8.01 eV per atom. Number 8: total DFT energy (no corrections) -6.79 eV per atom.